<1>
Below is crystalline GePd15 at its relaxed geometry, with properties calculated at the PBE-GGA level.

abc: 5.539 3.947 36.282
angles: 90.00 90.05 90.00
Atoms (fractional coordinates):
Ge 0.625 0.250 0.281
Ge 0.375 0.750 0.719
Pd 0.875 0.750 0.019
Pd 0.375 0.750 0.019
Pd 0.625 0.250 0.058
Pd 0.125 0.250 0.058
Pd 0.375 0.750 0.097
Pd 0.875 0.750 0.097
Pd 0.625 0.250 0.135
Pd 0.125 0.250 0.136
Pd 0.875 0.750 0.175
Pd 0.375 0.750 0.175
Pd 0.625 0.250 0.212
Pd 0.125 0.250 0.213
Pd 0.872 0.750 0.255
Pd 0.378 0.750 0.255
Pd 0.125 0.250 0.291
Pd 0.875 0.750 0.709
Pd 0.622 0.250 0.745
Pd 0.128 0.250 0.745
Pd 0.875 0.750 0.787
Pd 0.375 0.750 0.788
Pd 0.625 0.250 0.825
Pd 0.125 0.250 0.825
Pd 0.875 0.750 0.864
Pd 0.375 0.750 0.865
Pd 0.125 0.250 0.903
Pd 0.625 0.250 0.903
Pd 0.875 0.750 0.942
Pd 0.375 0.750 0.942
Pd 0.625 0.250 0.981
Pd 0.125 0.250 0.981

<2>
Below is crystalline GePd15 at its relaxed geometry, with properties calculated at the PBE-GGA level.

abc: 3.921 3.919 45.414
angles: 90.00 90.00 90.00
Atoms (fractional coordinates):
Ge 0.250 0.000 0.175
Ge 0.750 0.000 0.825
Pd 0.750 0.500 0.167
Pd 0.250 0.500 0.212
Pd 0.750 0.000 0.212
Pd 0.750 0.500 0.257
Pd 0.250 0.000 0.258
Pd 0.750 0.000 0.302
Pd 0.250 0.500 0.302
Pd 0.250 0.000 0.346
Pd 0.750 0.500 0.346
Pd 0.750 0.000 0.390
Pd 0.250 0.500 0.390
Pd 0.750 0.500 0.434
Pd 0.250 0.000 0.434
Pd 0.250 0.500 0.478
Pd 0.750 0.000 0.478
Pd 0.250 0.000 0.522
Pd 0.750 0.500 0.522
Pd 0.750 0.000 0.566
Pd 0.250 0.500 0.566
Pd 0.750 0.500 0.610
Pd 0.250 0.000 0.610
Pd 0.250 0.500 0.654
Pd 0.750 0.000 0.654
Pd 0.750 0.500 0.698
Pd 0.250 0.000 0.698
Pd 0.750 0.000 0.742
Pd 0.250 0.500 0.743
Pd 0.250 0.000 0.788
Pd 0.750 0.500 0.788
Pd 0.250 0.500 0.833

The data favor <2>; the next most stable structure lies 0.025 eV/atom above it.

<1>
Below is crystalline GePd7 at its relaxed geometry, with properties calculated at the PBE-GGA level.

abc: 2.825 2.825 44.006
angles: 90.00 90.00 90.00
Atoms (fractional coordinates):
Ge 0.500 0.500 0.171
Ge 0.000 0.000 0.829
Pd 0.000 0.000 0.211
Pd 0.500 0.500 0.256
Pd 0.000 0.000 0.301
Pd 0.500 0.500 0.346
Pd 0.000 0.000 0.390
Pd 0.500 0.500 0.434
Pd 0.000 0.000 0.478
Pd 0.500 0.500 0.522
Pd 0.000 0.000 0.566
Pd 0.500 0.500 0.610
Pd 0.000 0.000 0.654
Pd 0.500 0.500 0.699
Pd 0.000 0.000 0.744
Pd 0.500 0.500 0.789

<2>
Below is crystalline GePd7 at its relaxed geometry, with properties calculated at the PBE-GGA level.

abc: 2.809 3.947 35.857
angles: 90.00 90.00 90.00
Atoms (fractional coordinates):
Ge 0.000 0.000 0.215
Ge 0.500 0.500 0.785
Pd 0.500 0.500 0.242
Pd 0.000 0.000 0.285
Pd 0.500 0.500 0.324
Pd 0.000 0.000 0.364
Pd 0.500 0.500 0.402
Pd 0.000 0.000 0.442
Pd 0.500 0.500 0.481
Pd 0.000 0.000 0.519
Pd 0.500 0.500 0.558
Pd 0.000 0.000 0.598
Pd 0.500 0.500 0.636
Pd 0.000 0.000 0.676
Pd 0.500 0.500 0.715
Pd 0.000 0.000 0.758

The data favor <2>; the next most stable structure lies 0.038 eV/atom above it.

<1>
Below is crystalline SmSiGePd2 at its relaxed geometry, with properties calculated at the PBE-GGA level.

Summary:
The value obtained for the spin magnetization is 0.01 μB/f.u.

abc: 5.891 5.891 5.891
angles: 137.71 137.71 61.34
Atoms (fractional coordinates):
Ge 0.614 0.614 0.000
Pd 0.755 0.255 0.500
Pd 0.255 0.755 0.500
Si 0.376 0.376 0.000
Sm 0.999 0.999 0.000

<2>
Below is crystalline SmSiGePd2 at its relaxed geometry, with properties calculated at the PBE-GGA level.

Summary:
The value obtained for the spin magnetization is 0.00 μB/f.u.

abc: 4.274 4.274 10.119
angles: 90.00 90.00 90.00
Atoms (fractional coordinates):
Ge 0.000 0.000 0.500
Ge 0.500 0.500 0.500
Pd 0.000 0.000 0.000
Pd 0.500 0.500 0.000
Pd 0.000 0.500 0.362
Pd 0.500 0.000 0.638
Si 0.000 0.500 0.126
Si 0.500 0.000 0.874
Sm 0.500 0.000 0.249
Sm 0.000 0.500 0.751

The data favor <1>; the next most stable structure lies 0.025 eV/atom above it.

<1>
Below is crystalline SrSiGePd2 at its relaxed geometry, with properties calculated at the PBE-GGA level.

abc: 4.414 4.414 10.098
angles: 90.00 90.00 90.00
Atoms (fractional coordinates):
Ge 0.000 0.000 0.500
Ge 0.500 0.500 0.500
Pd 0.000 0.000 0.000
Pd 0.500 0.500 0.000
Pd 0.500 0.000 0.363
Pd 0.000 0.500 0.637
Si 0.500 0.000 0.119
Si 0.000 0.500 0.881
Sr 0.000 0.500 0.252
Sr 0.500 0.000 0.748

<2>
Below is crystalline SrSiGePd2 at its relaxed geometry, with properties calculated at the PBE-GGA level.

abc: 5.961 5.961 5.961
angles: 136.78 136.78 62.78
Atoms (fractional coordinates):
Ge 0.377 0.377 0.000
Pd 0.745 0.245 0.500
Pd 0.245 0.745 0.500
Si 0.633 0.633 0.000
Sr 0.000 0.000 0.000

The data favor <2>; the next most stable structure lies 0.012 eV/atom above it.

<1>
Below is crystalline PmGe2 at its relaxed geometry, with properties calculated at the PBE-GGA level.

Summary:
The value obtained for the spin magnetization is 0.01 μB/f.u.

abc: 5.707 5.707 5.707
angles: 60.00 60.00 60.00
Atoms (fractional coordinates):
Ge 0.625 0.625 0.125
Ge 0.625 0.125 0.625
Ge 0.125 0.625 0.625
Ge 0.625 0.625 0.625
Pm 0.000 0.000 0.000
Pm 0.250 0.250 0.250

<2>
Below is crystalline PmGe2 at its relaxed geometry, with properties calculated at the PBE-GGA level.

Summary:
The value obtained for the spin magnetization is 2.05 μB/f.u.

abc: 9.396 9.396 9.396
angles: 60.00 60.00 60.00
Atoms (fractional coordinates):
Ge 0.375 0.375 0.375
Ge 0.375 0.875 0.375
Ge 0.875 0.375 0.375
Ge 0.375 0.375 0.875
Pm 0.250 0.250 0.250
Pm 0.500 0.500 0.500

The data favor <1>; the next most stable structure lies 1.758 eV/atom above it.